First-principles (PBE) data for an optimized crystal structure of Y5InHg4, as listed in OQMD.

The structure in POSCAR format:
```
Y5InHg4
1.0
3.726 0.000 0.000
0.000 3.726 0.000
0.000 0.000 18.679
Hg In Y
4 1 5
direct
0.000 0.000 0.400
0.000 0.000 0.202
0.000 0.000 0.798
0.000 0.000 0.600
0.000 0.000 0.000
0.500 0.500 0.301
0.500 0.500 0.699
0.500 0.500 0.103
0.500 0.500 0.500
0.500 0.500 0.897
```

- DFT total energy (Ry/atom) = -0.3041



First-principles (PBE) data for an optimized crystal structure of PtPbSO, as listed in OQMD.

The structure in POSCAR format:
```
PtPbSO
1.0
4.348 0.000 0.000
0.000 4.348 0.000
0.000 0.000 8.551
S Pt O Pb
2 2 2 2
direct
0.250 0.750 0.500
0.750 0.250 0.500
0.750 0.750 0.402
0.250 0.250 0.598
0.750 0.750 0.109
0.250 0.250 0.891
0.250 0.250 0.141
0.750 0.750 0.859
```

- ΔE to the lowest computed polymorph (eV per atom) = 0.247



First-principles (PBE) data for an optimized crystal structure of AcPmAg4, as listed in OQMD.

The structure in POSCAR format:
```
AcPmAg4
1.0
-1.431 3.786 2.621
-4.364 0.000 2.052
2.881 -3.146 6.140
Ag Ac Pm
4 1 1
direct
0.167 0.167 0.221
0.833 0.833 0.779
0.834 0.833 0.221
0.166 0.167 0.779
0.500 0.500 0.500
0.500 0.500 0.000
```

- DFT formation energy (eV per atom) = -0.3023